The following is a DFT calculation (PBE) of a relaxed BaLa3Br crystal.

The space group is Pm-3m (No. 221) and the conventional cell measures 6.044, 6.044 and 6.044 Å, with angles of 90.00, 90.00 and 90.00 degrees. The asymmetric unit holds Ba at (0.000, 0.000, 0.000), La at (0.000, 0.000, 0.500) and Br at (0.500, 0.500, 0.500).

For the uncorrected formation energy, the calculation gives 0.617 eV/atom. Its total magnetization is 0.0 μB/f.u.

---

The following is a DFT calculation (PBE) of a relaxed BaLa2Br crystal.

The space group is Fm-3m (No. 225) and the conventional cell measures 8.355, 8.355 and 8.355 Å, with angles of 90.00, 90.00 and 90.00 degrees. The asymmetric unit holds Ba at (0.000, 0.000, 0.000), La at (0.250, 0.250, 0.250) and Br at (0.000, 0.000, 0.500).

For the uncorrected formation energy, the calculation gives 0.029 eV/atom. Its total magnetization is 0.0 μB/f.u.

---

The following is a DFT calculation (PBE) of a relaxed BaLa2Br crystal.

The space group is Cmm2 (No. 35) and the conventional cell measures 4.771, 6.064 and 10.647 Å, with angles of 90.00, 90.00 and 90.00 degrees. The asymmetric unit holds Ba at (0.000, 0.000, 0.000), La at (0.000, 0.000, 0.451), La at (0.000, 0.500, 0.692) and Br at (0.000, 0.500, 0.235).

For the uncorrected formation energy, the calculation gives -0.542 eV/atom. Its total magnetization is 0.0 μB/f.u.